DFT (PBE) results for a relaxed structure of AcPrSmLu.

Structure (POSCAR):
```
AcPrSmLu
1.0
0.000 4.169 4.169
4.169 0.000 4.169
4.169 4.169 0.000
Ac Pr Sm Lu
1 1 1 1
direct
0.000 0.000 0.000 Ac
0.750 0.750 0.750 Pr
0.250 0.250 0.250 Sm
0.500 0.500 0.500 Lu
```

The size of the total moment comes out at 0.56 μB per formula unit. The calculation puts the total energy at -4.358 eV per atom. The value obtained for the volume is 36.241 Å³/atom.

---

DFT (PBE) results for a relaxed structure of CdTc3.

Structure (POSCAR):
```
CdTc3
1.0
1.400 0.808 9.321
-1.400 0.808 9.321
0.000 -1.616 9.321
Cd Tc
1 3
direct
0.000 0.000 0.000 Cd
0.243 0.243 0.243 Tc
0.500 0.500 0.500 Tc
0.757 0.757 0.757 Tc
```

The size of the total moment comes out at 0.00 μB per formula unit. The calculation puts the total energy at -7.787 eV per atom. The value obtained for the volume is 15.818 Å³/atom.